(1)
! MnC2O6 | Alexandria via LeMat-Bulk | PBEsol | relaxed; values from VASP
! Crystal system: monoclinic
! Formation energy from raw total energies: -11.76 eV per formula unit
! Offset from the most stable computed form: 0.043 eV/atom
&SYSTEM
  ibrav = 0, nat = 18, ntyp = 3
/
ATOMIC_SPECIES
Mn 54.94 Mn.upf
O 16.00 O.upf
C 12.01 C.upf
CELL_PARAMETERS angstrom
4.971 -0.346 0.000
-2.740 7.577 0.000
0.000 0.000 6.884
ATOMIC_POSITIONS crystal
Mn 0.000 0.000 0.000
O 0.510 0.330 0.684
O 0.404 0.140 0.936
O 0.462 0.334 0.289
O 0.490 0.670 0.316
C 0.321 0.218 0.797
O 0.096 0.360 0.436
O 0.038 0.166 0.789
C 0.179 0.282 0.297
O 0.596 0.860 0.064
O 0.538 0.666 0.711
O 0.904 0.640 0.564
O 0.010 0.830 0.816
O 0.990 0.170 0.184
O 0.962 0.834 0.211
C 0.821 0.718 0.703
Mn 0.500 0.500 0.500
C 0.679 0.782 0.203

(2)
! Sr2Ag2Sn | Alexandria via LeMat-Bulk | PBEsol | relaxed; values from VASP
! Crystal system: tetragonal
! ΔH_f (0 K): -1.84 eV/f.u.
&SYSTEM
  ibrav = 0, nat = 10, ntyp = 3
/
ATOMIC_SPECIES
Sr 87.62 Sr.upf
Ag 107.87 Ag.upf
Sn 118.71 Sn.upf
CELL_PARAMETERS angstrom
-2.122 -2.165 2.928
5.490 -5.854 -0.349
4.247 3.638 5.767
ATOMIC_POSITIONS crystal
Sr 0.500 0.181 0.681
Ag 0.000 0.120 0.380
Sn 0.000 0.500 0.500
Sn 0.000 0.000 0.000
Sr 0.500 0.681 0.819
Ag 0.000 0.380 0.880
Ag 0.000 0.880 0.620
Sr 0.500 0.819 0.319
Ag 0.000 0.620 0.120
Sr 0.500 0.319 0.181

(3)
! LiNiHRu2 | Alexandria via LeMat-Bulk | PBEsol | relaxed; values from VASP
! Crystal system: tetragonal
! Final energy: -30.8 eV per formula unit
&SYSTEM
  ibrav = 0, nat = 5, ntyp = 4
/
ATOMIC_SPECIES
Ru 101.07 Ru.upf
H 1.01 H.upf
Ni 58.69 Ni.upf
Li 6.94 Li.upf
CELL_PARAMETERS angstrom
3.611 0.000 0.000
0.000 3.732 0.000
0.000 0.000 3.732
ATOMIC_POSITIONS crystal
Ru 0.000 0.000 0.500
H 0.000 0.000 0.000
Ni 0.500 0.500 0.500
Ru 0.000 0.500 0.000
Li 0.500 0.000 0.000